VASP calculation (PBE) on crystalline AcZn2ReN4 at its relaxed geometry.

Unit cell a=5.4045 b=5.4045 c=5.4045 alpha=118.70 beta=109.23 gamma=100.98
With the nearest neighbours (Å) after each atom.
Positions (direct):
Ac 0.0000 0.0000 0.0000  8 N 2.76-2.92, 4 Zn 3.08
Zn 0.2003 0.7003 0.5000  4 N 2.17-2.39
Zn 0.7997 0.2997 0.5000  4 N 2.17-2.39
Re 0.5000 0.5000 0.0000  4 N 1.85
N 0.1767 0.1423 0.6428  1 Re 1.85
N 0.4995 0.5339 0.3572  1 Re 1.85
N 0.5005 0.8577 0.0344  1 Re 1.85
N 0.8233 0.4661 0.9656  1 Re 1.85

Properties
- Raw formation energy: -0.30 eV per atom
- Total magnetic moment: 0.000 μB/f.u.